[1]
Below is SiTe2Os after structural relaxation, with properties calculated at the PBE level.

Results
Its crystal system is orthorhombic. The spin magnetization is 0.000 μB per cell. For the uncorrected energy, the calculation gives -4.713 eV/atom.

Cell: 3.2599 5.1898 4.7289 Å, 90.00 90.00 90.00°
With the nearest neighbours (Å) after each atom.
Sites, in units of the cell vectors:
Te 0.5000 0.5000 0.0000  4 Si 2.87, 4 Te 3.06
Te 0.0000 0.0000 0.0000  4 Os 2.87, 4 Te 3.06
Os 0.5000 0.0000 0.5000  4 Te 2.87, 4 Si 3.06
Si 0.0000 0.5000 0.5000  4 Te 2.87, 4 Os 3.06

---

[2]
Below is SiTe2Os after structural relaxation, with properties calculated at the PBE level.

Results
Its crystal system is monoclinic. The spin magnetization is 0.000 μB per cell. For the uncorrected energy, the calculation gives -5.481 eV/atom.

Cell: 4.2238 4.1891 5.8738 Å, 78.41 90.00 90.00°
With the nearest neighbours (Å) after each atom.
Sites, in units of the cell vectors:
Si 0.5000 0.7284 0.6545  2 Os 2.34
Os 0.0000 0.5140 0.5978  2 Si 2.34, 1 Te 2.60
Te 0.5000 0.2956 0.3527  2 Si 2.66-2.78, 2 Os 2.81
Te 0.0000 0.9620 0.8951  2 Os 2.60-2.81, 2 Si 2.82

---

[3]
Below is SiTeOs2 after structural relaxation, with properties calculated at the PBE level.

Results
Its crystal system is tetragonal. Its energy above the lowest structure with this stoichiometry is 46 meV/atom. The spin magnetization is 0.000 μB per cell.

Cell: 3.0823 3.0823 6.6126 Å, 90.00 90.00 90.00°
With the nearest neighbours (Å) after each atom.
Sites, in units of the cell vectors:
Os 0.0000 0.0000 0.0417  4 Si 2.58, 1 Os 2.76
Os 0.0000 0.0000 0.4583  4 Si 2.58, 1 Os 2.76
Te 0.5000 0.5000 0.7500  8 Os 2.91, 4 Te 3.08
Si 0.5000 0.5000 0.2500  8 Os 2.58

---

[4]
Below is SiTeOs after structural relaxation, with properties calculated at the PBE level.

Results
Its crystal system is tetragonal. Its energy above the lowest structure with this stoichiometry is 237 meV/atom. The spin magnetization is 0.000 μB per cell.

Cell: 6.3520 6.3521 3.0378 Å, 76.16 76.17 27.67°
With the nearest neighbours (Å) after each atom.
Sites, in units of the cell vectors:
Si 0.3712 0.3712 0.6288  4 Os 2.52
Te 0.6468 0.6468 0.3532  4 Os 2.91-2.92, 4 Te 3.04
Os 0.9820 0.9820 0.0180  4 Si 2.52

---

[5]
Below is SiTeOs after structural relaxation, with properties calculated at the PBE level.

Results
Its crystal system is trigonal. Its energy above the lowest structure with this stoichiometry is 193 meV/atom. The spin magnetization is 0.000 μB per cell.

Cell: 3.8030 3.8030 5.2118 Å, 90.00 90.00 120.00°
With the nearest neighbours (Å) after each atom.
Sites, in units of the cell vectors:
Te 0.3333 0.6667 0.7346  3 Os 2.74
Si 0.6667 0.3333 0.2171  3 Os 2.37
Os 0.0000 0.0000 0.0484  3 Si 2.37

---

[6]
Below is SiTeOs2 after structural relaxation, with properties calculated at the PBE level.

Results
Its crystal system is cubic. Its energy above the lowest structure with this stoichiometry is 282 meV/atom. The spin magnetization is 0.000 μB per cell.

Cell: 4.4664 4.4664 4.4664 Å, 60.00 60.00 60.00°
With the nearest neighbours (Å) after each atom.
Sites, in units of the cell vectors:
Os 0.7500 0.7500 0.7500  4 Te 2.74, 4 Si 2.74
Os 0.2500 0.2500 0.2500  4 Te 2.74, 4 Si 2.74
Te 0.5000 0.5000 0.5000  8 Os 2.74
Si 0.0000 0.0000 0.0000  8 Os 2.74